The following is a PBE calculation of a relaxed structure of LaReN3, from the Alexandria database. Values from VASP.

Output
E_tot in eV/cell: -43.11
M_tot in μB per formula unit: 0.35
Space group: Amm2, No. 38
Fermi-level density of states in states/eV per atom: 0.55
Uncorrected formation energy in eV per atom: -0.15

Geometry as Quantum ESPRESSO input:
```
&SYSTEM
  ibrav = 0, nat = 5, ntyp = 3
/
ATOMIC_SPECIES
Re 186.21 Re.upf
N 14.01 N.upf
La 138.91 La.upf
ATOMIC_POSITIONS crystal
Re 0.000 0.407 0.593
N 0.000 0.241 0.759
N 0.500 0.257 0.346
N 0.500 0.654 0.743
La 0.500 0.070 0.930
CELL_PARAMETERS angstrom
-0.101 0.485 3.005
-6.221 -0.437 -0.139
3.344 -5.180 0.948
```

The following is a PBE calculation of a relaxed structure of La2ReN3, from the Alexandria database. Values from VASP.

Output
E_tot in eV/cell: -53.44
M_tot in μB per formula unit: 0.00
Space group: Immm, No. 71
Fermi-level density of states in states/eV per atom: 0.54
Uncorrected formation energy in eV per atom: -1.03

Geometry as Quantum ESPRESSO input:
```
&SYSTEM
  ibrav = 0, nat = 6, ntyp = 3
/
ATOMIC_SPECIES
N 14.01 N.upf
La 138.91 La.upf
Re 186.21 Re.upf
ATOMIC_POSITIONS crystal
N 0.000 0.500 0.000
La 0.352 0.352 0.705
N 0.843 0.843 0.686
Re 0.000 0.000 0.000
La 0.648 0.648 0.295
N 0.157 0.157 0.314
CELL_PARAMETERS angstrom
-0.610 -3.374 -1.224
3.088 -1.316 2.088
-5.164 1.209 4.656
```

The following is a PBE calculation of a relaxed structure of LaReN3, from the Alexandria database. Values from VASP.

Output
E_tot in eV/cell: -91.00
M_tot in μB per formula unit: 0.00
Space group: Pm, No. 6
Fermi-level density of states in states/eV per atom: 0.00
Uncorrected formation energy in eV per atom: -0.63

Geometry as Quantum ESPRESSO input:
```
&SYSTEM
  ibrav = 0, nat = 10, ntyp = 3
/
ATOMIC_SPECIES
N 14.01 N.upf
Re 186.21 Re.upf
La 138.91 La.upf
ATOMIC_POSITIONS crystal
N 0.196 0.327 0.534
Re 0.258 0.827 0.528
La 0.027 0.327 0.774
N 0.748 0.827 0.539
N 0.341 0.327 0.139
N 0.264 0.827 0.804
N 0.834 0.327 0.070
N 0.546 0.827 0.528
Re 0.133 0.327 0.254
La 0.575 0.827 0.115
CELL_PARAMETERS angstrom
-0.810 6.154 -0.162
-2.961 -0.460 -2.663
-4.088 -3.494 5.148
```

The following is a PBE calculation of a relaxed structure of LaReN3, from the Alexandria database. Values from VASP.

Output
E_tot in eV/cell: -89.53
M_tot in μB per formula unit: 0.00
Space group: R-3m, No. 166
Fermi-level density of states in states/eV per atom: 0.48
Uncorrected formation energy in eV per atom: -0.48

Geometry as Quantum ESPRESSO input:
```
&SYSTEM
  ibrav = 0, nat = 10, ntyp = 3
/
ATOMIC_SPECIES
N 14.01 N.upf
La 138.91 La.upf
Re 186.21 Re.upf
ATOMIC_POSITIONS crystal
N 0.415 0.415 0.931
N 0.585 0.069 0.585
La 0.877 0.877 0.877
N 0.585 0.585 0.069
Re 0.654 0.654 0.654
N 0.415 0.931 0.415
La 0.123 0.123 0.123
N 0.069 0.585 0.585
N 0.931 0.415 0.415
Re 0.346 0.346 0.346
CELL_PARAMETERS angstrom
1.967 -5.762 0.182
5.118 -2.034 2.602
0.431 -3.560 4.923
```

The following is a PBE calculation of a relaxed structure of LaReN3, from the Alexandria database. Values from VASP.

Output
E_tot in eV/cell: -46.04
M_tot in μB per formula unit: 0.00
Space group: Pm-3m, No. 221
Fermi-level density of states in states/eV per atom: 0.22
Uncorrected formation energy in eV per atom: -0.74

Geometry as Quantum ESPRESSO input:
```
&SYSTEM
  ibrav = 0, nat = 5, ntyp = 3
/
ATOMIC_SPECIES
N 14.01 N.upf
Re 186.21 Re.upf
La 138.91 La.upf
ATOMIC_POSITIONS crystal
N 0.000 0.000 0.500
Re 0.000 0.000 0.000
N 0.000 0.500 0.000
N 0.500 0.000 0.000
La 0.500 0.500 0.500
CELL_PARAMETERS angstrom
3.952 0.000 0.000
0.000 3.952 0.000
0.000 0.000 3.952
```

The following is a PBE calculation of a relaxed structure of La4Re3N10, from the Alexandria database. Values from VASP.

Output
E_tot in eV/cell: -154.49
M_tot in μB per formula unit: 0.00
Space group: I4/mmm, No. 139
Fermi-level density of states in states/eV per atom: 0.34
Uncorrected formation energy in eV per atom: -0.83

Geometry as Quantum ESPRESSO input:
```
&SYSTEM
  ibrav = 0, nat = 17, ntyp = 3
/
ATOMIC_SPECIES
N 14.01 N.upf
La 138.91 La.upf
Re 186.21 Re.upf
ATOMIC_POSITIONS crystal
N 0.000 0.500 0.000
La 0.703 0.703 0.405
Re 0.139 0.139 0.278
La 0.568 0.568 0.136
N 0.860 0.360 0.721
N 0.930 0.930 0.860
N 0.360 0.860 0.721
Re 0.861 0.861 0.722
La 0.432 0.432 0.864
Re 0.000 0.000 0.000
N 0.070 0.070 0.140
N 0.212 0.212 0.423
N 0.640 0.140 0.279
N 0.140 0.640 0.279
N 0.788 0.788 0.577
N 0.500 0.000 0.000
La 0.297 0.297 0.595
CELL_PARAMETERS angstrom
3.935 0.000 -0.534
-0.073 3.935 -0.534
-0.034 -0.034 14.511
```

The following is a PBE calculation of a relaxed structure of La2ReN4, from the Alexandria database. Values from VASP.

Output
E_tot in eV/cell: -123.88
Energy above the lowest structure with this stoichiometry in eV/atom: 0.053
M_tot in μB per formula unit: 0.00
Space group: P2_1/m, No. 11
Fermi-level density of states in states/eV per atom: 0.44
Uncorrected formation energy in eV per atom: -0.91

Geometry as Quantum ESPRESSO input:
```
&SYSTEM
  ibrav = 0, nat = 14, ntyp = 3
/
ATOMIC_SPECIES
La 138.91 La.upf
N 14.01 N.upf
Re 186.21 Re.upf
ATOMIC_POSITIONS crystal
La 0.701 0.750 0.042
N 0.446 0.508 0.249
N 0.931 0.250 0.075
Re 0.759 0.250 0.806
N 0.446 0.992 0.249
La 0.222 0.250 0.433
N 0.554 0.492 0.751
N 0.946 0.250 0.641
N 0.054 0.750 0.359
N 0.069 0.750 0.925
N 0.554 0.008 0.751
La 0.778 0.750 0.567
Re 0.241 0.750 0.194
La 0.299 0.250 0.958
CELL_PARAMETERS angstrom
6.097 0.000 0.006
0.000 5.918 0.000
-2.234 0.000 6.635
```

The following is a PBE calculation of a relaxed structure of La3Re5N12, from the Alexandria database. Values from VASP.

Output
E_tot in eV/cell: -753.03
M_tot in μB per formula unit: 0.00
Space group: Ia-3d, No. 230
Fermi-level density of states in states/eV per atom: 0.45
Uncorrected formation energy in eV per atom: -0.57

Geometry as Quantum ESPRESSO input:
```
&SYSTEM
  ibrav = 0, nat = 80, ntyp = 3
/
ATOMIC_SPECIES
N 14.01 N.upf
Re 186.21 Re.upf
La 138.91 La.upf
ATOMIC_POSITIONS crystal
N 0.505 0.317 0.893
N 0.893 0.817 0.505
N 0.888 0.575 0.893
Re 0.000 0.000 0.500
Re 0.125 0.375 0.250
N 0.607 0.995 0.683
N 0.495 0.812 0.888
N 0.112 0.688 0.505
N 0.925 0.107 0.612
Re 0.750 0.625 0.375
La 0.875 0.750 0.125
N 0.607 0.612 0.425
Re 0.625 0.875 0.250
N 0.995 0.388 0.312
La 0.375 0.625 0.250
Re 0.500 0.500 0.000
N 0.317 0.505 0.393
N 0.107 0.183 0.495
N 0.188 0.505 0.612
N 0.683 0.188 0.575
N 0.112 0.425 0.107
N 0.893 0.075 0.888
Re 0.500 0.500 0.500
Re 0.875 0.625 0.750
N 0.312 0.888 0.995
N 0.183 0.075 0.688
N 0.183 0.107 0.995
Re 0.500 0.000 0.000
N 0.888 0.312 0.495
La 0.125 0.250 0.875
La 0.625 0.250 0.375
N 0.688 0.575 0.183
Re 0.625 0.750 0.875
La 0.375 0.750 0.625
N 0.817 0.925 0.312
Re 0.875 0.250 0.625
N 0.393 0.388 0.575
La 0.625 0.375 0.750
N 0.188 0.683 0.075
N 0.683 0.495 0.607
Re 0.250 0.375 0.625
N 0.995 0.607 0.183
N 0.317 0.812 0.425
N 0.075 0.893 0.388
N 0.425 0.112 0.607
La 0.750 0.375 0.125
Re 0.000 0.500 0.500
N 0.612 0.005 0.188
N 0.688 0.112 0.005
N 0.495 0.683 0.107
N 0.388 0.393 0.075
Re 0.250 0.875 0.125
N 0.925 0.817 0.812
La 0.875 0.125 0.250
Re 0.500 0.000 0.500
N 0.425 0.312 0.317
N 0.817 0.893 0.005
Re 0.000 0.000 0.000
N 0.575 0.888 0.393
Re 0.375 0.125 0.750
N 0.312 0.425 0.817
N 0.505 0.188 0.112
N 0.812 0.317 0.925
N 0.005 0.393 0.817
N 0.075 0.183 0.188
Re 0.000 0.500 0.000
N 0.005 0.612 0.688
La 0.250 0.125 0.375
Re 0.375 0.250 0.125
N 0.107 0.925 0.112
N 0.575 0.688 0.683
La 0.125 0.875 0.750
La 0.250 0.625 0.875
N 0.393 0.005 0.317
N 0.812 0.495 0.388
Re 0.125 0.750 0.375
La 0.750 0.875 0.625
N 0.612 0.607 0.925
Re 0.750 0.125 0.875
N 0.388 0.995 0.812
CELL_PARAMETERS angstrom
-3.582 -8.708 -6.280
9.227 4.526 -4.740
2.511 -3.642 10.417
```

The following is a PBE calculation of a relaxed structure of LaReN3, from the Alexandria database. Values from VASP.

Output
E_tot in eV/cell: -44.51
M_tot in μB per formula unit: 0.00
Space group: Cm, No. 8
Fermi-level density of states in states/eV per atom: 0.33
Uncorrected formation energy in eV per atom: -0.43

Geometry as Quantum ESPRESSO input:
```
&SYSTEM
  ibrav = 0, nat = 5, ntyp = 3
/
ATOMIC_SPECIES
N 14.01 N.upf
La 138.91 La.upf
Re 186.21 Re.upf
ATOMIC_POSITIONS crystal
N 0.956 0.277 0.831
N 0.720 0.039 0.541
La 0.596 0.833 0.996
N 0.118 0.536 0.248
Re 0.145 0.214 0.517
CELL_PARAMETERS angstrom
-1.147 2.593 2.248
-4.392 0.198 0.441
-1.516 -2.661 5.207
```